[1]
# CoGeN2 | Alexandria | PBE-GGA | relaxed
# DOS at the Fermi energy in states/eV/atom: 0.645
# ΔE_f (raw) in meV/atom: 649
# Theoretical density in g/cm³: 7.0
data_CoGeN2
_symmetry_space_group_name_H-M 'P 63/m m c'
_symmetry_Int_Tables_number 194
_symmetry_space_group_name_Hall '-P 6c 2c'
_cell_length_a 2.9169
_cell_length_b 2.9169
_cell_length_c 10.2760
_cell_angle_alpha 90.00
_cell_angle_beta 90.00
_cell_angle_gamma 120.00
loop_
_atom_site_label
_atom_site_fract_x
_atom_site_fract_y
_atom_site_fract_z
Co1 0.0000 0.0000 0.0000
Ge1 0.3333 0.6667 0.2500
N1 0.3333 0.6667 0.6111

***

[2]
# LaIrBr | Alexandria | PBE-GGA | relaxed
# ΔE_f (raw) in meV/atom: -827
# ΔE to the lowest computed polymorph in kJ per mole of atoms: 49.2
# Theoretical density in g/cm³: 6.9
data_LaIrBr
_symmetry_space_group_name_H-M 'C 1 2/m 1'
_symmetry_Int_Tables_number 12
_cell_length_a 13.5494
_cell_length_b 4.0146
_cell_length_c 8.5834
_cell_angle_alpha 90.00
_cell_angle_beta 122.61
_cell_angle_gamma 90.00
loop_
_symmetry_equiv_pos_as_xyz
'x,y,z'
'-x,-y,-z'
'-x,y,-z'
'x,-y,z'
'x+1/2,y+1/2,z'
'-x+1/2,-y+1/2,-z'
'-x+1/2,y+1/2,-z'
'x+1/2,-y+1/2,z'
loop_
_atom_site_label
_atom_site_fract_x
_atom_site_fract_y
_atom_site_fract_z
La1 0.0327 0.0000 0.2389
Ir1 0.1124 0.5000 0.1284
Br1 0.1648 0.0000 0.6716